The following is a PBE-GGA calculation of crystalline KRb3H6Au2 at its relaxed geometry, from Alexandria via LeMat-Bulk.

Cell: 6.4366 6.4366 7.5744 Å, 90.00 90.00 120.00°
Space group P-3m1 (No. 164)
One atom of each set of equivalent atoms:
1 K 0.0000 0.0000 0.0000 (multiplicity 1)
2 Rb 0.0000 0.0000 0.5000 (multiplicity 1)
3 Rb 0.3333 0.6667 0.2288 (multiplicity 2)
4 H 0.1778 0.3555 0.7622 (multiplicity 6)
5 Au 0.3333 0.6667 0.7606 (multiplicity 2)

Output
VASP energy, eV per cell: -33.164

The following is a PBE-GGA calculation of crystalline K2ReHAu at its relaxed geometry, from Alexandria via LeMat-Bulk.

Cell: 6.3365 6.3365 5.1511 Å, 90.00 90.00 90.00°
Space group P4/mmm (No. 123)
One atom of each set of equivalent atoms:
1 K 0.0000 0.5000 0.0000 (multiplicity 2)
2 Re 0.0000 0.0000 0.5000 (multiplicity 1)
3 H 0.5000 0.5000 0.5000 (multiplicity 1)
4 Au 0.0000 0.0000 0.0000 (multiplicity 1)

Output
VASP energy, eV per cell: -15.398

The following is a PBE-GGA calculation of crystalline K2H6RhAu at its relaxed geometry, from Alexandria via LeMat-Bulk.

Cell: 5.0838 5.0838 9.5985 Å, 90.00 90.00 90.00°
Space group I4/mmm (No. 139)
One atom of each set of equivalent atoms:
1 K 0.0000 0.5000 0.2500 (multiplicity 4)
2 H 0.0000 0.0000 0.1754 (multiplicity 4)
3 H 0.2450 0.2450 0.0000 (multiplicity 8)
4 Rh 0.0000 0.0000 0.0000 (multiplicity 2)
5 Au 0.0000 0.0000 0.5000 (multiplicity 2)

Output
VASP energy, eV per cell: -70.069

The following is a PBE-GGA calculation of crystalline KSbHAu2 at its relaxed geometry, from Alexandria via LeMat-Bulk.

Cell: 5.4610 5.4610 4.1301 Å, 90.00 90.00 90.00°
Space group P4/mmm (No. 123)
One atom of each set of equivalent atoms:
1 K 0.0000 0.0000 0.0000 (multiplicity 1)
2 Sb 0.5000 0.5000 0.5000 (multiplicity 1)
3 H 0.5000 0.5000 0.0000 (multiplicity 1)
4 Au 0.0000 0.5000 0.5000 (multiplicity 2)

Output
VASP energy, eV per cell: -15.539

The following is a PBE-GGA calculation of crystalline K2HAuSe at its relaxed geometry, from Alexandria via LeMat-Bulk.

Cell: 3.7457 5.1787 14.4276 Å, 90.00 90.00 90.00°
Space group Imm2 (No. 44)
One atom of each set of equivalent atoms:
1 K 0.0000 0.0000 0.0000 (multiplicity 2)
2 K 0.0000 0.0000 0.2863 (multiplicity 2)
3 H 0.0000 0.5000 0.0761 (multiplicity 2)
4 Au 0.0000 0.0000 0.5993 (multiplicity 2)
5 Se 0.0000 0.0000 0.7837 (multiplicity 2)

Output
ΔE to the lowest computed polymorph, meV/atom: 88

The following is a PBE-GGA calculation of crystalline K2HAuSe at its relaxed geometry, from Alexandria via LeMat-Bulk.

Cell: 5.8448 5.8448 3.6332 Å, 90.00 90.00 90.00°
Space group P4/mmm (No. 123)
One atom of each set of equivalent atoms:
1 K 0.0000 0.5000 0.0000 (multiplicity 2)
2 H 0.0000 0.0000 0.0000 (multiplicity 1)
3 Au 0.0000 0.0000 0.5000 (multiplicity 1)
4 Se 0.5000 0.5000 0.5000 (multiplicity 1)

Output
ΔE to the lowest computed polymorph, meV/atom: 0

Number 1: magnetization 0.00 μB per formula unit. Number 2: magnetization 3.98 μB per formula unit. Number 3: magnetization 0.00 μB per formula unit. Number 4: magnetization 0.00 μB per formula unit. Number 5: magnetization 0.00 μB per formula unit. Number 6: magnetization 0.25 μB per formula unit.